# TaFe3F | Alexandria via LeMat-Bulk | PBE+U | optimized geometry
# **E_tot**: -5.705 eV per atom
# **Relative energy among the computed polymorphs**: 0.0 kJ/mol of atoms
data_TaFe3F
_cell_length_a 4.295
_cell_length_b 4.295
_cell_length_c 4.295
_cell_angle_alpha 90.00
_cell_angle_beta 90.00
_cell_angle_gamma 90.00
_symmetry_space_group_name_H-M 'P 1'
_symmetry_Int_Tables_number 1
loop_
_symmetry_equiv_pos_as_xyz
'x,y,z'
loop_
_atom_site_label
_atom_site_fract_x
_atom_site_fract_y
_atom_site_fract_z
Ta1 0.000 0.000 0.000
Fe1 0.000 0.500 0.500
Fe2 0.500 0.000 0.500
Fe3 0.500 0.500 0.000
F1 0.500 0.500 0.500